Material: SiH3I
Method: DFT, PBE
State: relaxed Values from VASP.

Geometry as Quantum ESPRESSO input:
```
&SYSTEM
  ibrav = 0, nat = 5, ntyp = 3
/
ATOMIC_SPECIES
H 1.01 H.upf
Si 28.09 Si.upf
I 126.90 I.upf
CELL_PARAMETERS angstrom
-2.222 3.125 0.057
-3.124 -2.217 -0.184
-0.117 -0.153 3.830
ATOMIC_POSITIONS crystal
H 0.000 0.000 0.500
H 0.500 0.000 0.000
Si 0.000 0.000 0.000
I 0.500 0.500 0.500
H 0.000 0.500 0.000
```

Computed properties:
V: 56 Å³/cell
energy above the lowest structure with this stoichiometry: 742 meV/atom
space-group type: Pm-3m (221)

Material: SiOs4
Method: DFT, PBE
State: relaxed Values from VASP.

Geometry as Quantum ESPRESSO input:
```
&SYSTEM
  ibrav = 0, nat = 5, ntyp = 2
/
ATOMIC_SPECIES
Os 190.23 Os.upf
Si 28.09 Si.upf
CELL_PARAMETERS angstrom
-1.990 -3.185 2.119
1.258 -2.801 -3.028
3.612 -0.779 2.222
ATOMIC_POSITIONS crystal
Os 0.000 0.000 0.000
Si 0.500 0.500 0.500
Os 0.500 0.000 0.500
Os 0.500 0.500 0.000
Os 0.000 0.500 0.500
```

Computed properties:
V: 80 Å³/cell
energy above the lowest structure with this stoichiometry: 787 meV/atom
space-group type: Pm-3m (221)
E_form (uncorrected): 1.517 eV per atom

Material: Pm6Ge2As3Br
Method: DFT, PBE
State: relaxed Values from VASP.

Geometry as Quantum ESPRESSO input:
```
&SYSTEM
  ibrav = 0, nat = 12, ntyp = 4
/
ATOMIC_SPECIES
As 74.92 As.upf
Pm 145.00 Pm.upf
Br 79.90 Br.upf
Ge 72.64 Ge.upf
CELL_PARAMETERS angstrom
4.215 0.000 0.000
0.000 8.593 0.321
-2.108 -2.463 8.943
ATOMIC_POSITIONS crystal
As 0.163 0.835 0.326
Pm 0.333 0.415 0.666
Pm 0.328 0.913 0.656
Pm 0.002 0.269 0.003
Pm 0.667 0.585 0.334
As 0.500 0.500 0.000
Br 0.500 0.000 0.000
Pm 0.998 0.731 0.997
Ge 0.165 0.330 0.330
Ge 0.835 0.670 0.670
As 0.837 0.165 0.674
Pm 0.672 0.087 0.344
```

Computed properties:
V: 327 Å³/cell
space-group type: C2/m (12)
E_form (uncorrected): -1.282 eV per atom

Material: Tl2GaSiAu6
Method: DFT, PBE
State: relaxed Values from VASP.

Geometry as Quantum ESPRESSO input:
```
&SYSTEM
  ibrav = 0, nat = 20, ntyp = 4
/
ATOMIC_SPECIES
Ga 69.72 Ga.upf
Tl 204.38 Tl.upf
Au 196.97 Au.upf
Si 28.09 Si.upf
CELL_PARAMETERS angstrom
6.642 0.000 0.000
3.321 5.752 0.000
3.321 1.917 11.760
ATOMIC_POSITIONS crystal
Ga 0.575 0.575 0.274
Tl 0.107 0.107 0.678
Tl 0.893 0.893 0.322
Au 0.918 0.338 0.405
Au 0.662 0.662 0.595
Tl 0.720 0.720 0.840
Au 0.221 0.653 0.904
Ga 0.425 0.425 0.726
Au 0.338 0.338 0.405
Tl 0.280 0.280 0.160
Au 0.779 0.347 0.096
Au 0.221 0.221 0.904
Si 0.500 0.500 0.500
Au 0.779 0.779 0.096
Au 0.653 0.221 0.904
Au 0.338 0.918 0.405
Au 0.082 0.662 0.595
Au 0.662 0.082 0.595
Si 0.000 0.000 0.000
Au 0.347 0.779 0.096
```

Computed properties:
V: 449 Å³/cell
space-group type: R-3m (166)
E_form (uncorrected): -0.030 eV per atom